No. 1
## VHgGe2Mo (PBE-GGA)

Data for VHgGe2Mo after structural relaxation.

Properties
N(E_F): 1.2907 states/eV/atom
space-group type: P4/mmm (123)
total moment: 3.33 μB per formula unit
theoretical density: 6639 kg/m³
electronic total energy: -4.981 eV per atom

```
data_VHgGe2Mo
_chemical_formula_sum 'V1 Hg1 Ge2 Mo1'
_space_group_name_H-M_alt 'P 1'
_space_group_IT_number 1
_cell_length_a 4.813
_cell_length_b 5.320
_cell_length_c 4.813
_cell_angle_alpha 90.00
_cell_angle_beta 90.00
_cell_angle_gamma 90.00
loop_
_space_group_symop_operation_xyz
'x,y,z'
loop_
_atom_site_label
_atom_site_type_symbol
_atom_site_fract_x
_atom_site_fract_y
_atom_site_fract_z
Ge1 Ge 0.000 0.000 0.500
Ge2 Ge 0.500 0.000 0.000
Mo1 Mo 0.000 0.000 0.000
Hg1 Hg 0.000 0.500 0.000
V1 V 0.500 0.500 0.500
```



No. 2
## Y2TaPd2 (PBE-GGA)

Data for Y2TaPd2 after structural relaxation.

Properties
N(E_F): 1.1249 states/eV/atom
energy above the most stable polymorph in this dataset: 0.00 kJ per mole of atoms
space-group type: P4/mbm (127)
total moment: 0.00 μB per formula unit
theoretical density: 8647 kg/m³
electronic total energy: -7.430 eV per atom

```
data_Y2TaPd2
_chemical_formula_sum 'Y4 Ta2 Pd4'
_space_group_name_H-M_alt 'P 1'
_space_group_IT_number 1
_cell_length_a 6.957
_cell_length_b 6.957
_cell_length_c 4.536
_cell_angle_alpha 90.00
_cell_angle_beta 90.00
_cell_angle_gamma 90.00
loop_
_space_group_symop_operation_xyz
'x,y,z'
loop_
_atom_site_label
_atom_site_type_symbol
_atom_site_fract_x
_atom_site_fract_y
_atom_site_fract_z
Pd1 Pd 0.861 0.639 0.000
Pd2 Pd 0.639 0.139 0.000
Pd3 Pd 0.361 0.861 0.000
Pd4 Pd 0.139 0.361 0.000
Y1 Y 0.326 0.174 0.500
Y2 Y 0.826 0.326 0.500
Y3 Y 0.674 0.826 0.500
Y4 Y 0.174 0.674 0.500
Ta1 Ta 0.000 0.000 0.000
Ta2 Ta 0.500 0.500 0.000
```



No. 3
## TaAs2SeBr (PBE-GGA)

Data for TaAs2SeBr after structural relaxation.

Properties
N(E_F): 0.9784 states/eV/atom
energy above the most stable polymorph in this dataset: 138.51 kJ per mole of atoms
space-group type: P4/mmm (123)
total moment: 0.00 μB per formula unit
ΔE_f (raw): 7.83 eV/f.u.
theoretical density: 6786 kg/m³
electronic total energy: -3.695 eV per atom

```
data_TaAs2SeBr
_chemical_formula_sum 'Ta1 As2 Se1 Br1'
_space_group_name_H-M_alt 'P 1'
_space_group_IT_number 1
_cell_length_a 4.869
_cell_length_b 4.869
_cell_length_c 5.053
_cell_angle_alpha 90.00
_cell_angle_beta 90.00
_cell_angle_gamma 90.00
loop_
_space_group_symop_operation_xyz
'x,y,z'
loop_
_atom_site_label
_atom_site_type_symbol
_atom_site_fract_x
_atom_site_fract_y
_atom_site_fract_z
Se1 Se 0.000 0.000 0.500
As1 As 0.500 0.000 0.000
As2 As 0.000 0.500 0.000
Br1 Br 0.000 0.000 0.000
Ta1 Ta 0.500 0.500 0.500
```



No. 4
## Sm2YTa2Rh5 (PBE-GGA)

Data for Sm2YTa2Rh5 after structural relaxation.

Properties
N(E_F): 0.8360 states/eV/atom
space-group type: P4/mbm (127)
total moment: 0.00 μB per formula unit
theoretical density: 10417 kg/m³
electronic total energy: -8.120 eV per atom

```
data_Sm2YTa2Rh5
_chemical_formula_sum 'Sm4 Y2 Ta4 Rh10'
_space_group_name_H-M_alt 'P 1'
_space_group_IT_number 1
_cell_length_a 3.794
_cell_length_b 10.314
_cell_length_c 10.314
_cell_angle_alpha 90.00
_cell_angle_beta 90.00
_cell_angle_gamma 90.00
loop_
_space_group_symop_operation_xyz
'x,y,z'
loop_
_atom_site_label
_atom_site_type_symbol
_atom_site_fract_x
_atom_site_fract_y
_atom_site_fract_z
Sm1 Sm 0.000 0.678 0.178
Sm2 Sm 0.000 0.822 0.678
Sm3 Sm 0.000 0.322 0.822
Sm4 Sm 0.000 0.178 0.322
Rh1 Rh 0.500 0.065 0.783
Rh2 Rh 0.500 0.283 0.565
Rh3 Rh 0.500 0.500 0.000
Rh4 Rh 0.500 0.435 0.283
Rh5 Rh 0.500 0.935 0.217
Rh6 Rh 0.500 0.000 0.500
Rh7 Rh 0.500 0.565 0.717
Rh8 Rh 0.500 0.217 0.065
Rh9 Rh 0.500 0.717 0.435
Rh10 Rh 0.500 0.783 0.935
Ta1 Ta 0.000 0.620 0.880
Ta2 Ta 0.000 0.880 0.380
Ta3 Ta 0.000 0.380 0.120
Ta4 Ta 0.000 0.120 0.620
Y1 Y 0.000 0.000 0.000
Y2 Y 0.000 0.500 0.500
```